[1]
Computed, not measured: Ce5Tc2Ru2 after structural relaxation at the GGA-PBE level of DFT.

abc: 9.8727 9.8727 9.8727
angles: 59.31 140.52 137.62
With the nearest neighbours (Å) after each atom.
Fractional coordinates of all 18 atoms:
Ce1 0.1243 0.0001 0.6242  2 Ru 2.46-2.67
Ce2 0.1771 0.0715 0.2486  2 Ru 2.63-2.93, 1 Tc 2.90
Ce3 0.1771 0.4285 0.6056  2 Ru 2.63-2.93, 1 Tc 2.90
Ce4 0.3760 0.5001 0.3758  2 Ru 2.46-2.67
Ce5 0.4281 0.7594 0.9694  2 Tc 2.52-2.53
Ce6 0.4281 0.9587 0.1687  2 Tc 2.52-2.53
Ce7 0.7900 0.2594 0.8313  2 Tc 2.52-2.53
Ce8 0.7900 0.4587 0.0306  2 Tc 2.52-2.53
Ce9 0.8229 0.5715 0.3944  2 Ru 2.63-2.93, 1 Tc 2.90
Ce10 0.8229 0.9285 0.7514  2 Ru 2.63-2.93, 1 Tc 2.90
Tc1 0.2335 0.3948 0.9856  2 Ce 2.52-2.53, 1 Tc 2.78
Tc2 0.2335 0.7479 0.3387  2 Ce 2.52-2.53, 1 Tc 2.78
Tc3 0.4092 0.2479 0.0144  2 Ce 2.52-2.53, 1 Tc 2.78
Tc4 0.4092 0.8948 0.6613  2 Ce 2.52-2.53, 1 Tc 2.78
Ru1 0.7196 0.2196 0.5000  4 Ce 2.63-2.93
Ru2 0.7196 0.7196 0.0000  4 Ce 2.63-2.93
Ru3 0.9028 0.6701 0.7327  2 Ce 2.46-2.67
Ru4 0.9374 0.1701 0.2673  2 Ce 2.46-2.67

Summary:
Symmetry: Ima2, No. 46
E_form, kJ/mol of formula units: -138
Magnetic moment, Bohr magnetons per cell: 0.00
Mass density, g/cm³: 8.93

=====

[2]
Computed, not measured: Ce8TcRu2 after structural relaxation at the GGA-PBE level of DFT.

abc: 9.1389 9.1389 6.7464
angles: 111.08 111.08 29.49
With the nearest neighbours (Å) after each atom.
Fractional coordinates of all 11 atoms:
Ce1 0.0082 0.0082 0.2610  1 Ru 2.80, 2 Tc 2.86, 2 Ce 3.04
Ce2 0.1943 0.1943 0.8050  2 Ce 2.91, 1 Ru 3.23
Ce3 0.3260 0.3260 0.4694  3 Ru 2.68-2.97, 2 Ce 2.91
Ce4 0.4092 0.4092 0.0011  2 Ru 2.89, 3 Ce 3.04-3.21, 1 Tc 3.14
Ce5 0.5908 0.5908 0.9989  2 Ru 2.89, 3 Ce 3.04-3.21, 1 Tc 3.14
Ce6 0.6740 0.6740 0.5306  3 Ru 2.68-2.97, 2 Ce 2.91
Ce7 0.8057 0.8057 0.1950  2 Ce 2.91, 1 Ru 3.23
Ce8 0.9918 0.9918 0.7390  1 Ru 2.80, 2 Tc 2.86, 2 Ce 3.04
Tc1 0.5000 0.5000 0.5000  8 Ce 2.86-3.14
Ru1 0.1648 0.1648 0.2499  6 Ce 2.68-2.97
Ru2 0.8352 0.8352 0.7501  6 Ce 2.68-2.97

Summary:
Symmetry: C2/m, No. 12
E_form, kJ/mol of formula units: -158
Magnetic moment, Bohr magnetons per cell: 0.01
Mass density, g/cm³: 9.17

=====

[3]
Computed, not measured: Ce8Tc2Ru after structural relaxation at the GGA-PBE level of DFT.

abc: 9.0552 9.0552 6.5997
angles: 97.89 97.89 28.84
With the nearest neighbours (Å) after each atom.
Fractional coordinates of all 11 atoms:
Ce1 0.0062 0.0062 0.2555  2 Ru 2.81, 2 Ce 2.98, 1 Tc 3.08
Ce2 0.2205 0.2205 0.2742  3 Ce 2.92-3.07, 3 Tc 2.98-3.02
Ce3 0.3434 0.3434 0.0182  1 Ru 2.77, 3 Ce 2.92-3.07, 2 Tc 3.03
Ce4 0.4054 0.4054 0.5277  2 Tc 2.82, 2 Ce 2.98
Ce5 0.5946 0.5946 0.4723  2 Tc 2.82, 2 Ce 2.98
Ce6 0.6566 0.6566 0.9818  1 Ru 2.77, 3 Ce 2.92-3.07, 2 Tc 3.03
Ce7 0.7795 0.7795 0.7258  3 Ce 2.92-3.07, 3 Tc 2.98-3.02
Ce8 0.9938 0.9938 0.7445  2 Ru 2.81, 2 Ce 2.98, 1 Tc 3.08
Tc1 0.1642 0.1642 0.6795  8 Ce 2.82-3.08
Tc2 0.8358 0.8358 0.3205  8 Ce 2.82-3.08
Ru1 0.5000 0.5000 0.0000  6 Ce 2.77-2.81

Summary:
Symmetry: C2/m, No. 12
E_form, kJ/mol of formula units: -86
Magnetic moment, Bohr magnetons per cell: 0.00
Mass density, g/cm³: 9.11

=====

[4]
Computed, not measured: Ce3TcRu2 after structural relaxation at the GGA-PBE level of DFT.

abc: 8.0454 8.0454 6.4580
angles: 101.43 101.43 37.02
With the nearest neighbours (Å) after each atom.
Fractional coordinates of all 12 atoms:
Ce1 0.1771 0.1883 0.5911  2 Ru 2.54-2.69
Ce2 0.1883 0.1771 0.0911  2 Ru 2.54-2.69
Ce3 0.1974 0.8026 0.7500  1 Tc 2.33
Ce4 0.8026 0.1974 0.2500  1 Tc 2.33
Ce5 0.8117 0.8229 0.9089  2 Ru 2.54-2.69
Ce6 0.8229 0.8117 0.4089  2 Ru 2.54-2.69
Tc1 0.2594 0.7406 0.2500  1 Ce 2.33
Tc2 0.7406 0.2594 0.7500  1 Ce 2.33
Ru1 0.3442 0.3645 0.4255  2 Ce 2.54-2.69
Ru2 0.3645 0.3442 0.9255  2 Ce 2.54-2.69
Ru3 0.6355 0.6558 0.0745  2 Ce 2.54-2.69
Ru4 0.6558 0.6355 0.5745  2 Ce 2.54-2.69

Summary:
Symmetry: C2/c, No. 15
E_form, kJ/mol of formula units: -109
Magnetic moment, Bohr magnetons per cell: 0.00
Mass density, g/cm³: 9.72

=====

[5]
Computed, not measured: CeThTcRu after structural relaxation at the GGA-PBE level of DFT.

abc: 4.9675 4.9675 4.9675
angles: 60.00 60.00 60.00
With the nearest neighbours (Å) after each atom.
Fractional coordinates of all 4 atoms:
Ce1 0.0000 0.0000 0.0000  4 Tc 3.04, 4 Ru 3.04
Th1 0.5000 0.5000 0.5000  4 Tc 3.04, 4 Ru 3.04
Tc1 0.7500 0.7500 0.7500  4 Th 3.04, 4 Ce 3.04
Ru1 0.2500 0.2500 0.2500  4 Th 3.04, 4 Ce 3.04

Summary:
Symmetry: F-43m, No. 216
E_form, kJ/mol of formula units: -62
Magnetic moment, Bohr magnetons per cell: 0.00
Mass density, g/cm³: 10.94

=====

[6]
Computed, not measured: CeTiTcRu after structural relaxation at the GGA-PBE level of DFT.

abc: 4.6245 4.6245 4.6245
angles: 60.00 60.00 60.00
With the nearest neighbours (Å) after each atom.
Fractional coordinates of all 4 atoms:
Ce1 0.0000 0.0000 0.0000  4 Ru 2.83, 4 Tc 2.83
Ti1 0.5000 0.5000 0.5000  4 Tc 2.83, 4 Ru 2.83
Tc1 0.2500 0.2500 0.2500  4 Ce 2.83, 4 Ti 2.83
Ru1 0.7500 0.7500 0.7500  4 Ti 2.83, 4 Ce 2.83

Summary:
Symmetry: F-43m, No. 216
E_form, kJ/mol of formula units: -106
Magnetic moment, Bohr magnetons per cell: 0.00
Mass density, g/cm³: 9.19

=====

[7]
Computed, not measured: CeTmTcRu after structural relaxation at the GGA-PBE level of DFT.

abc: 4.8172 4.8172 4.8172
angles: 60.00 60.00 60.00
With the nearest neighbours (Å) after each atom.
Fractional coordinates of all 4 atoms:
Ce1 0.0000 0.0000 0.0000  4 Tc 2.95, 4 Ru 2.95
Tm1 0.5000 0.5000 0.5000  4 Tc 2.95, 4 Ru 2.95
Tc1 0.7500 0.7500 0.7500  4 Ce 2.95, 4 Tm 2.95
Ru1 0.2500 0.2500 0.2500  4 Tm 2.95, 4 Ce 2.95

Summary:
Symmetry: F-43m, No. 216
E_form, kJ/mol of formula units: -85
Magnetic moment, Bohr magnetons per cell: 0.00
Mass density, g/cm³: 10.67

=====

[8]
Computed, not measured: CeYTcRu after structural relaxation at the GGA-PBE level of DFT.

abc: 4.8557 4.8557 4.8557
angles: 60.00 60.00 60.00
With the nearest neighbours (Å) after each atom.
Fractional coordinates of all 4 atoms:
Ce1 0.0000 0.0000 0.0000  4 Tc 2.97, 4 Ru 2.97
Y1 0.5000 0.5000 0.5000  4 Tc 2.97, 4 Ru 2.97
Tc1 0.7500 0.7500 0.7500  4 Ce 2.97, 4 Y 2.97
Ru1 0.2500 0.2500 0.2500  4 Ce 2.97, 4 Y 2.97

Summary:
Symmetry: F-43m, No. 216
E_form, kJ/mol of formula units: -57
Magnetic moment, Bohr magnetons per cell: 0.00
Mass density, g/cm³: 8.78

=====

- The highest magnetic moment belongs to which entry?
  Ce8TcRu2